A relaxed structure of NdPaPt2. Source: Alexandria, functional PBE.

DOS(E_F) (states/eV/atom): 1.10
VASP energy (eV per atom): -7.622

abc: 5.937 4.371 7.738
angles: 90.00 110.59 90.00
Element x y z (fractional)
1 Nd 0.216 0.250 0.181
2 Nd 0.784 0.750 0.819
3 Pa 0.234 0.250 0.684
4 Pa 0.766 0.750 0.316
5 Pt 0.297 0.750 0.465
6 Pt 0.322 0.750 0.942
7 Pt 0.678 0.250 0.058
8 Pt 0.703 0.250 0.535